[1]
Here is a relaxed LaPrIBr2N crystal from the Open Quantum Materials Database. Energies are from PBE-GGA.

Summary:
Energy ... -0.408 Ry/atom

Cell: 19.473 4.135 12.291 Å, 90.00 125.66 90.00°
Space group C2/m (No. 12)
Asymmetric unit:
La1 0.077 0.000 0.464
Pr1 0.135 0.500 0.787
I1 0.039 0.500 0.230
Br1 0.173 0.000 0.007
Br2 0.215 0.500 0.632
N1 0.071 0.000 0.651



[2]
Here is a relaxed SrPd3Au2 crystal from the Open Quantum Materials Database. Energies are from PBE-GGA.

Summary:
Energy ... -0.327 Ry/atom

Cell: 5.5500 5.5500 4.5272 Å, 90.00 90.00 120.00°
Space group P6/mmm (No. 191)
Asymmetric unit:
Sr1 0.0000 0.0000 0.0000
Pd1 0.0000 0.5000 0.5000
Au1 0.3333 0.6667 0.0000



[3]
Here is a relaxed Tm2CuGe crystal from the Open Quantum Materials Database. Energies are from PBE-GGA.

Summary:
Energy ... -0.361 Ry/atom

Cell: 4.099 3.988 10.592 Å, 90.00 90.00 90.00°
Space group Amm2 (No. 38)
Asymmetric unit:
Tm1 0.000 0.000 0.000
Tm2 0.500 0.000 0.278
Cu1 0.000 0.000 0.716
Ge1 0.500 0.000 0.563



[4]
Here is a relaxed CuGeW crystal from the Open Quantum Materials Database. Energies are from PBE-GGA.

Summary:
Energy ... -0.457 Ry/atom

Cell: 5.782 5.782 5.782 Å, 90.00 90.00 90.00°
Space group F-43m (No. 216)
Asymmetric unit:
Cu1 0.000 0.000 0.000
Ge1 0.250 0.250 0.750
W1 0.250 0.250 0.250



[5]
Here is a relaxed Al4W3 crystal from the Open Quantum Materials Database. Energies are from PBE-GGA.

Summary:
Energy ... -0.561 Ry/atom

Cell: 2.8416 2.8416 47.5151 Å, 90.00 90.00 120.00°
Space group R-3m (No. 166, hexagonal axes)
Asymmetric unit:
Al1 0.0000 0.0000 0.1426
Al2 0.0000 0.0000 0.2852
W1 0.0000 0.0000 0.0000
W2 0.0000 0.0000 0.4291



[6]
Here is a relaxed Zn3S2Cl2 crystal from the Open Quantum Materials Database. Energies are from PBE-GGA.

Summary:
Energy ... -0.226 Ry/atom

Cell: 8.477 8.477 8.477 Å, 90.00 90.00 90.00°
Space group I2_13 (No. 199)
Asymmetric unit:
Zn1 0.000 0.250 0.913
S1 0.004 0.496 0.504
Cl1 0.242 0.258 0.742



[7]
Here is a relaxed Zr2ScHg2 crystal from the Open Quantum Materials Database. Energies are from PBE-GGA.

Summary:
Energy ... -0.332 Ry/atom

Cell: 4.393 4.393 12.806 Å, 90.00 90.00 90.00°
Space group I4/mmm (No. 139)
Asymmetric unit:
Zr1 0.000 0.000 0.103
Sc1 0.000 0.000 0.500
Hg1 0.000 0.500 0.250



[8]
Here is a relaxed CsPrGe3 crystal from the Open Quantum Materials Database. Energies are from PBE-GGA.

Summary:
Energy ... -0.300 Ry/atom

Cell: 6.9813 6.9813 6.9617 Å, 90.00 90.00 120.00°
Space group P-6c2 (No. 188)
Asymmetric unit:
Cs1 0.0000 0.0000 0.0000
Pr1 0.3333 0.6667 0.0000
Ge1 0.5440 0.0898 0.2500



[9]
Here is a relaxed PrZrCu crystal from the Open Quantum Materials Database. Energies are from PBE-GGA.

Summary:
Energy ... -0.392 Ry/atom

Cell: 6.711 6.711 6.711 Å, 90.00 90.00 90.00°
Space group F-43m (No. 216)
Asymmetric unit:
Pr1 0.000 0.000 0.000
Zr1 0.000 0.000 0.500
Cu1 0.250 0.250 0.250



[10]
Here is a relaxed SmAsPbO crystal from the Open Quantum Materials Database. Energies are from PBE-GGA.

Summary:
Energy ... -0.436 Ry/atom

Cell: 4.350 4.350 9.596 Å, 90.00 90.00 90.00°
Space group P4mm (No. 99)
Asymmetric unit:
Sm1 0.000 0.000 0.000
Sm2 0.500 0.500 0.200
As1 0.000 0.000 0.371
As2 0.500 0.500 0.831
Pb1 0.000 0.500 0.601
O1 0.000 0.500 0.100



[11]
Here is a relaxed ReHgO3 crystal from the Open Quantum Materials Database. Energies are from PBE-GGA.

Summary:
Energy ... -0.477 Ry/atom

Cell: 5.3088 5.3088 18.8688 Å, 90.00 90.00 120.00°
Space group R-3 (No. 148, hexagonal axes)
Asymmetric unit:
Re1 0.0000 0.0000 0.1643
Hg1 0.0000 0.0000 0.3529
O1 0.0017 0.6123 0.4450



[12]
Here is a relaxed HoSiPO crystal from the Open Quantum Materials Database. Energies are from PBE-GGA.

Summary:
Energy ... -0.475 Ry/atom

Cell: 3.820 5.763 5.825 Å, 90.00 90.00 90.00°
Space group Pmc2_1 (No. 26)
Asymmetric unit:
Ho1 0.000 0.231 0.000
Si1 0.500 0.366 0.405
P1 0.500 0.082 0.682
O1 0.000 0.398 0.359



> What is the formula in the seventh record?

Zr2ScHg2



> Which formula does entry 10 have?

SmAsPbO